DyMoPb2O6 (PBE with a Hubbard U, relaxed); volume = 14.80 A^3/atom; spin magnetization = 2.00 Bohr magnetons per cell; E_tot = -6.820 eV/atom
1.0
5.770 0.000 0.017
0.000 6.017 0.000
0.075 0.000 8.526
Pb O Dy Mo
4 12 2 2
Cartesian
2.964 2.753 1.989
5.727 5.762 2.299
0.117 0.256 6.243
2.880 3.264 6.554
1.726 4.102 0.167
3.985 1.602 4.531
3.282 0.156 2.238
2.563 5.862 6.304
4.648 4.923 4.438
1.196 1.094 4.104
5.410 3.164 2.049
1.859 4.415 4.011
4.118 1.915 8.375
1.063 1.407 0.260
0.434 2.853 6.493
4.781 4.611 8.282
2.885 0.000 0.008
0.037 3.009 4.263
2.922 0.000 4.271
0.000 3.009 0.000

PmDyMoO6 (PBE with a Hubbard U, relaxed); volume = 14.54 A^3/atom; spin magnetization = 0.00 Bohr magnetons per cell; E_tot = -7.793 eV/atom
1.0
-4.027 2.167 1.836
1.686 -1.216 5.133
1.504 4.785 -2.348
O Pm Mo Dy
6 1 1 1
Cartesian
1.629 2.769 3.983
-0.652 4.087 3.295
-2.413 1.209 2.830
-0.185 1.648 1.327
-0.781 1.751 5.770
0.072 -0.256 4.139
1.565 2.784 0.146
-2.014 1.084 0.918
-0.388 1.868 3.557

Rb3DyMo2O8 (PBE with a Hubbard U, relaxed); volume = 19.24 A^3/atom; spin magnetization = 2.00 Bohr magnetons per cell; E_tot = -6.382 eV/atom
1.0
6.218 0.000 0.000
-3.109 5.385 0.000
0.000 0.000 8.043
O Mo Dy Rb
8 2 1 3
Cartesian
3.109 3.541 5.360
1.512 4.463 2.683
3.109 1.795 7.894
-1.512 4.463 2.683
0.000 1.844 2.683
4.621 0.922 5.360
1.597 0.922 5.360
0.000 3.590 0.148
0.000 3.590 1.947
3.109 1.795 6.095
0.000 0.000 4.021
0.000 0.000 0.000
0.000 3.590 5.465
3.109 1.795 2.577

Rb2DyMoO6 (PBE with a Hubbard U, relaxed); volume = 21.84 A^3/atom; spin magnetization = 1.05 Bohr magnetons per cell; E_tot = -6.222 eV/atom
1.0
5.864 0.000 0.000
0.000 6.558 0.000
0.000 -3.279 5.679
O Rb Mo Dy
6 2 1 1
Cartesian
1.218 1.321 0.763
4.646 0.000 1.525
1.218 3.279 4.154
4.646 1.958 4.917
4.646 -1.958 4.917
1.218 5.237 0.763
0.625 0.000 3.786
5.240 3.279 1.893
0.000 0.000 0.000
2.932 0.000 0.000

- What is the formula in the second record?
  PmDyMoO6